Entry 1:
VASP calculation (PBE) on a relaxed structure of TeOsAu2.

a = 3.1533 Å, b = 3.1533 Å, c = 7.9135 Å
α = 90.00°, β = 90.00°, γ = 90.00°
Sites, in units of the cell vectors:
Te: 0.0000 0.0000 0.0000
Os: 0.5000 0.5000 0.8114
Au: 0.0000 0.0000 0.5711
Au: 0.5000 0.5000 0.3434

Properties
DOS at the Fermi energy in states/eV/f.u.: 1.61
Formation energy from raw total energies in meV/atom: 425.9
ρ in g cm⁻³: 15.02
Total magnetization in μB per formula unit: 0.00


Entry 2:
VASP calculation (PBE) on a relaxed structure of Th3Os2Au.

a = 7.2768 Å, b = 7.2768 Å, c = 8.3199 Å
α = 106.61°, β = 106.61°, γ = 47.80°
Sites, in units of the cell vectors:
Th: 0.0008 0.9992 0.7500
Th: 0.3128 0.3128 0.4063
Th: 0.3128 0.3128 0.9063
Th: 0.6872 0.6872 0.0937
Th: 0.6872 0.6872 0.5937
Th: 0.9992 0.0008 0.2500
Os: 0.1580 0.1579 0.0790
Os: 0.1579 0.1580 0.5790
Os: 0.8421 0.8420 0.4210
Os: 0.8420 0.8421 0.9210
Au: 0.4992 0.5008 0.2500
Au: 0.5008 0.4992 0.7500

Properties
DOS at the Fermi energy in states/eV/f.u.: 3.29
ρ in g cm⁻³: 13.64
Formation energy in kJ per mole of atoms: -38.3
Total magnetization in μB per formula unit: 0.00


Entry 3:
VASP calculation (PBE) on a relaxed structure of Th2OsAu.

a = 3.5467 Å, b = 3.5467 Å, c = 7.7248 Å
α = 90.00°, β = 90.00°, γ = 90.00°
Sites, in units of the cell vectors:
Th: 0.0000 0.0000 0.2280
Th: 0.0000 0.0000 0.7720
Os: 0.5000 0.5000 0.0000
Au: 0.5000 0.5000 0.5000

Properties
DOS at the Fermi energy in states/eV/f.u.: 4.76
ρ in g cm⁻³: 14.55
Formation energy in kJ per mole of atoms: -36.7
Total magnetization in μB per formula unit: 0.00


Entry 4:
VASP calculation (PBE) on a relaxed structure of Th2OsAu.

a = 4.2870 Å, b = 4.2870 Å, c = 6.8486 Å
α = 90.00°, β = 90.00°, γ = 120.00°
Sites, in units of the cell vectors:
Th: 0.3333 0.6667 0.2852
Th: 0.6667 0.3333 0.7148
Os: 0.0000 0.0000 0.5000
Au: 0.0000 0.0000 0.0000

Properties
DOS at the Fermi energy in states/eV/f.u.: 2.62
ρ in g cm⁻³: 12.97
Formation energy in kJ per mole of atoms: -45.2
Total magnetization in μB per formula unit: 0.00


The highest DOS at the Fermi energy belongs to which entry? number 3


The highest ρ belongs to which entry? TeOsAu2